1.
# PBE-GGA BaCuNiH6, relaxed
# Total energy (eV for the cell shown): -34.28
data_BaCuNiH6
_space_group_name_H-M_alt 'P -6 m 2'
_space_group_IT_number 187
_space_group_name_Hall 'P -6 2'
_cell_length_a 4.6347
_cell_length_b 4.6347
_cell_length_c 4.9236
_cell_angle_alpha 90.00
_cell_angle_beta 90.00
_cell_angle_gamma 120.00
loop_
_atom_site_label
_atom_site_fract_x
_atom_site_fract_y
_atom_site_fract_z
Ba1 0.0000 0.0000 0.0000
Cu1 0.3333 0.6667 0.5000
Ni1 0.6667 0.3333 0.5000
H1 0.5086 0.0173 0.2965


2.
# PBE-GGA BaCuNi2H8, relaxed
# Total energy (eV for the cell shown): -137.33
data_BaCuNi2H8
_space_group_name_H-M_alt 'R -3'
_space_group_IT_number 148
_space_group_name_Hall '-R 3'
_cell_length_a 4.5386
_cell_length_b 4.5386
_cell_length_c 18.3466
_cell_angle_alpha 90.00
_cell_angle_beta 90.00
_cell_angle_gamma 120.00
loop_
_atom_site_label
_atom_site_fract_x
_atom_site_fract_y
_atom_site_fract_z
Ba1 0.0000 0.0000 0.0000
Cu1 0.0000 0.0000 0.5000
Ni1 0.0000 0.0000 0.1916
H1 0.0000 0.0000 0.2795
H2 0.0035 0.7072 0.1257


3.
# PBE-GGA Ba2CuNiH, relaxed
# Total energy (eV for the cell shown): -17.10
data_Ba2CuNiH
_space_group_name_H-M_alt 'P 4/m m m'
_space_group_IT_number 123
_space_group_name_Hall '-P 4 2'
_cell_length_a 5.4887
_cell_length_b 5.4887
_cell_length_c 3.6109
_cell_angle_alpha 90.00
_cell_angle_beta 90.00
_cell_angle_gamma 90.00
loop_
_atom_site_label
_atom_site_fract_x
_atom_site_fract_y
_atom_site_fract_z
Ba1 0.0000 0.5000 0.0000
Cu1 0.0000 0.0000 0.5000
Ni1 0.5000 0.5000 0.5000
H1 0.5000 0.5000 0.0000


4.
# PBE-GGA BaCu2HO2, relaxed
# Total energy (eV for the cell shown): -57.41
data_BaCu2HO2
_space_group_name_H-M_alt 'P 1 21/m 1'
_space_group_IT_number 11
_cell_length_a 4.8033
_cell_length_b 5.7119
_cell_length_c 7.5745
_cell_angle_alpha 90.00
_cell_angle_beta 96.58
_cell_angle_gamma 90.00
loop_
_space_group_symop_operation_xyz
'x,y,z'
'-x,-y,-z'
'-x,y+1/2,-z'
'x,-y+1/2,z'
loop_
_atom_site_label
_atom_site_fract_x
_atom_site_fract_y
_atom_site_fract_z
Ba1 0.2234 0.2500 0.3961
Cu1 0.3154 0.7500 0.8719
Cu2 0.4517 0.2500 0.8220
H1 0.2348 0.7500 0.0708
O1 0.2963 0.5122 0.6873